Density functional theory data (GGA-PBE) for SrLiP after structural relaxation.

The value obtained for the total energy is -23.874 eV for the cell shown. The calculation puts the volume at 21.92 Å³/atom. The calculation puts the energy of formation from the pure elements at -977 meV per atom.

The structure in CIF format:
```
data_SrLiP
_chemical_formula_sum 'Sr2 Li2 P2'
_symmetry_space_group_name_H-M 'P 4/n m m'
_symmetry_Int_Tables_number 129
_cell_length_a 4.369
_cell_length_b 4.369
_cell_length_c 6.888
_cell_angle_alpha 90.00
_cell_angle_beta 90.00
_cell_angle_gamma 90.00
loop_
_symmetry_equiv_pos_as_xyz
'x,y,z'
'-x,-y,-z'
'-y+1/2,x,z'
'y+1/2,-x,-z'
'-x+1/2,-y+1/2,z'
'x+1/2,y+1/2,-z'
'y,-x+1/2,z'
'-y,x+1/2,-z'
'x+1/2,-y,-z'
'-x+1/2,y,z'
'-y,-x,-z'
'y,x,z'
'-x,y+1/2,-z'
'x,-y+1/2,z'
'y+1/2,x+1/2,-z'
'-y+1/2,-x+1/2,z'
loop_
_atom_site_label
_atom_site_type_symbol
_atom_site_fract_x
_atom_site_fract_y
_atom_site_fract_z
_atom_site_occupancy
Sr1 Sr 0.250 0.250 0.177 1
Li1 Li 0.250 0.750 0.500 1
P1 P 0.250 0.250 0.717 1
```

Density functional theory data (GGA-PBE) for Sr3Li7P4 after structural relaxation.

The value obtained for the total energy is -101.627 eV for the cell shown. The calculation puts the volume at 20.02 Å³/atom. The calculation puts the energy of formation from the pure elements at -767 meV per atom.

The structure in CIF format:
```
data_Sr3Li7P4
_chemical_formula_sum 'Sr6 Li14 P8'
_symmetry_space_group_name_H-M 'C 1 2/m 1'
_symmetry_Int_Tables_number 12
_symmetry_space_group_name_Hall '-C 2y'
_cell_length_a 16.370
_cell_length_b 4.348
_cell_length_c 9.805
_cell_angle_alpha 90.00
_cell_angle_beta 126.55
_cell_angle_gamma 90.00
loop_
_atom_site_label
_atom_site_type_symbol
_atom_site_fract_x
_atom_site_fract_y
_atom_site_fract_z
_atom_site_occupancy
Sr1 Sr 0.000 0.000 0.000 1
Sr2 Sr 0.202 0.500 0.725 1
Li1 Li 0.000 0.000 0.500 1
Li2 Li 0.004 0.500 0.277 1
Li3 Li 0.176 0.000 0.423 1
Li4 Li 0.176 0.500 0.014 1
P1 P 0.114 0.000 0.829 1
P2 P 0.158 0.500 0.270 1
```

Density functional theory data (GGA-PBE) for Sr2Li5P3 after structural relaxation.

The value obtained for the total energy is -148.815 eV for the cell shown. The calculation puts the volume at 19.72 Å³/atom. The calculation puts the energy of formation from the pure elements at -804 meV per atom.

The structure in CIF format:
```
data_Sr2Li5P3
_chemical_formula_sum 'Sr8 Li20 P12'
_symmetry_space_group_name_H-M 'C m c 21'
_symmetry_Int_Tables_number 36
_symmetry_space_group_name_Hall 'C 2c -2'
_cell_length_a 4.316
_cell_length_b 25.907
_cell_length_c 7.054
_cell_angle_alpha 90.00
_cell_angle_beta 90.00
_cell_angle_gamma 90.00
loop_
_atom_site_label
_atom_site_type_symbol
_atom_site_fract_x
_atom_site_fract_y
_atom_site_fract_z
_atom_site_occupancy
Sr1 Sr 0.000 0.024 0.000 1
Sr2 Sr 0.000 0.326 0.980 1
Li1 Li 0.000 0.088 0.609 1
Li2 Li 0.000 0.202 0.111 1
Li3 Li 0.000 0.232 0.736 1
Li4 Li 0.000 0.370 0.502 1
Li5 Li 0.000 0.440 0.847 1
P1 P 0.000 0.111 0.267 1
P2 P 0.000 0.270 0.409 1
P3 P 0.000 0.449 0.216 1
```

Density functional theory data (GGA-PBE) for SrLiP after structural relaxation.

The value obtained for the total energy is -11.703 eV for the cell shown. The calculation puts the volume at 22.68 Å³/atom. The calculation puts the energy of formation from the pure elements at -899 meV per atom.

The structure in CIF format:
```
data_SrLiP
_chemical_formula_sum 'Sr1 Li1 P1'
_symmetry_space_group_name_H-M 'P -6 m 2'
_symmetry_Int_Tables_number 187
_symmetry_space_group_name_Hall 'P -6 2'
_cell_length_a 4.2919
_cell_length_b 4.2919
_cell_length_c 4.2646
_cell_angle_alpha 90.00
_cell_angle_beta 90.00
_cell_angle_gamma 120.00
loop_
_atom_site_label
_atom_site_type_symbol
_atom_site_fract_x
_atom_site_fract_y
_atom_site_fract_z
_atom_site_occupancy
Sr1 Sr 0.0000 0.0000 0.0000 1
Li1 Li 0.6667 0.3333 0.5000 1
P1 P 0.3333 0.6667 0.5000 1
```

Q: Look up the energy of formation from the pure elements of the third one.
A: -804 meV per atom

Q: Look up the energy of formation from the pure elements of the fourth one.
A: -899 meV per atom